[1]
{"formula": "YTeAuN2", "functional": "PBE", "state": "optimized geometry", "cell": [[-2.767, -2.420, 2.221], [3.281, -2.174, 1.718], [0.195, 3.512, 4.070]], "species": ["Au", "N", "N", "Y", "Te"], "frac_coords": [[0.000, 0.000, 0.000], [0.000, 0.500, 0.000], [0.500, 0.000, 0.000], [0.500, 0.500, 0.500], [0.000, 0.000, 0.500]], "magnetic_moment_mub_per_cell": 1.7, "density_g_cm3": 7.39, "e_form_raw_kj_per_mol_fu": 487, "sg": "P4/mmm (123)"}

[2]
{"formula": "Fe2SiBr", "functional": "PBE", "state": "optimized geometry", "cell": [[3.903, -0.415, -0.214], [2.452, 3.065, -0.214], [-0.613, -0.256, 5.785]], "species": ["Si", "Fe", "Br", "Fe"], "frac_coords": [[0.443, 0.443, 0.764], [0.750, 0.750, 0.621], [0.181, 0.181, 0.268], [0.126, 0.126, 0.847]], "magnetic_moment_mub_per_cell": 4.6, "density_g_cm3": 4.89, "e_form_raw_kj_per_mol_fu": 30, "sg": "Cm (8)", "de_polymorph_ev_per_atom": 0.000}

[3]
{"formula": "Ba3AlHg2Au6", "functional": "PBE", "state": "optimized geometry", "cell": [[6.691, 0.000, 0.000], [-3.345, 5.794, 0.000], [0.000, 0.000, 8.808]], "species": ["Ba", "Au", "Hg", "Au", "Au", "Ba", "Al", "Au", "Au", "Au", "Ba", "Hg"], "frac_coords": [[0.333, 0.667, 0.659], [0.182, 0.818, 0.324], [0.333, 0.667, 0.050], [0.636, 0.818, 0.324], [0.182, 0.364, 0.324], [0.000, 0.000, 0.000], [0.000, 0.000, 0.500], [0.364, 0.182, 0.676], [0.818, 0.636, 0.676], [0.818, 0.182, 0.676], [0.667, 0.333, 0.341], [0.667, 0.333, 0.950]], "magnetic_moment_mub_per_cell": 0.0, "density_g_cm3": 9.83, "sg": "P-3m1 (164)", "delta_e_f_mev_per_atom": -539}

[4]
{"formula": "CeNdMg2", "functional": "PBE", "state": "optimized geometry", "cell": [[-3.156, 2.105, -0.515], [-1.194, -2.448, -2.691], [-3.718, -4.231, 5.499]], "species": ["Nd", "Mg", "Ce", "Mg"], "frac_coords": [[0.500, 0.500, 0.500], [0.000, 0.000, 0.751], [0.500, 0.500, 0.000], [0.000, 0.000, 0.249]], "magnetic_moment_mub_per_cell": 1.0, "density_g_cm3": 4.79, "sg": "P4/mmm (123)", "de_polymorph_ev_per_atom": 0.000, "delta_e_f_mev_per_atom": -8}

[5]
{"formula": "Cs2NdCu3F12", "functional": "PBE", "state": "optimized geometry", "cell": [[-1.410, 7.218, -0.905], [-6.789, 2.464, 1.659], [-0.808, 4.184, 6.063]], "species": ["F", "Cs", "Cu", "Cs", "F", "F", "F", "F", "F", "Cu", "F", "Cu", "F", "Nd", "F", "F", "F", "F"], "frac_coords": [[0.103, 0.103, 0.626], [0.389, 0.389, 0.389], [0.000, 0.500, 0.000], [0.611, 0.611, 0.611], [0.897, 0.374, 0.897], [0.103, 0.626, 0.103], [0.897, 0.897, 0.374], [0.710, 0.710, 0.087], [0.290, 0.913, 0.290], [0.500, 0.000, 0.000], [0.710, 0.087, 0.710], [0.000, 0.000, 0.500], [0.290, 0.290, 0.913], [0.000, 0.000, 0.000], [0.626, 0.103, 0.103], [0.913, 0.290, 0.290], [0.087, 0.710, 0.710], [0.374, 0.897, 0.897]], "magnetic_moment_mub_per_cell": 3.7, "density_g_cm3": 4.59, "e_form_raw_kj_per_mol_fu": -4143, "sg": "R-3m (166)"}

[6]
{"formula": "AcLa2Br", "functional": "PBE", "state": "optimized geometry", "cell": [[3.704, 0.000, 0.000], [1.852, 3.207, 0.000], [1.852, 1.069, 12.108]], "species": ["Ac", "La", "La", "Br"], "frac_coords": [[0.000, 0.000, 0.000], [0.100, 0.100, 0.700], [0.900, 0.900, 0.300], [0.500, 0.500, 0.500]], "magnetic_moment_mub_per_cell": 0.0, "density_g_cm3": 6.75, "e_form_raw_kj_per_mol_fu": -161, "sg": "R-3m (166)", "de_polymorph_ev_per_atom": 0.169}